The following is a DFT calculation (PBE) of a geometry-optimized Sc8Ga2Bi structure.

abc: 4.490 7.441 8.221
angles: 110.58 105.85 90.00
Atoms (fractional coordinates):
Ga1 0.782 0.337 0.564
Sc1 0.600 0.463 0.200
Sc2 0.683 0.938 0.365
Sc3 0.948 0.274 0.897
Sc4 0.836 0.759 0.672
Ga2 0.218 0.663 0.436
Bi1 0.500 0.000 0.000
Sc5 0.317 0.062 0.635
Sc6 0.164 0.241 0.328
Sc7 0.052 0.726 0.103
Sc8 0.400 0.537 0.800

**Crystal system**: monoclinic
**Formation energy**: -359 meV/atom
**Space-group type**: No. 12
**Magnetic moment**: 0.00 μB per formula unit